InNiAg2F8: optimized geometry, PBE with a Hubbard U.

The structure in CIF format:
```
data_InNiAg2F8
_chemical_formula_sum 'In1 Ni1 Ag2 F8'
_space_group_name_H-M_alt 'P -1'
_space_group_IT_number 2
_cell_length_a 5.120
_cell_length_b 5.401
_cell_length_c 6.654
_cell_angle_alpha 89.93
_cell_angle_beta 89.93
_cell_angle_gamma 85.55
loop_
_space_group_symop_operation_xyz
'x,y,z'
'-x,-y,-z'
loop_
_atom_site_label
_atom_site_type_symbol
_atom_site_fract_x
_atom_site_fract_y
_atom_site_fract_z
_atom_site_occupancy
In1 In 0.000 0.000 0.000 1
Ni1 Ni 0.000 0.000 0.500 1
Ag1 Ag 0.500 0.500 0.261 1
F1 F 0.175 0.162 0.253 1
F2 F 0.175 0.162 0.747 1
F3 F 0.279 0.720 0.500 1
F4 F 0.299 0.702 0.000 1
```

Summary:
- V (Å³ per cell) = 183
- calculated total energy (eV/cell) = -47.74